VASP calculation (GGA-PBE) on an optimized crystal structure of BeCu2Hg.

abc: 2.8903 2.8258 6.5555
angles: 90.00 90.13 90.00
With the nearest neighbours (Å) after each atom.
Fractional positions:
Be  0.0000  0.0000  0.0000  8 Cu 2.37
Cu  0.4987  0.5000  0.8108  4 Be 2.37, 1 Cu 2.48
Cu  0.5013  0.5000  0.1892  4 Be 2.37, 1 Cu 2.48
Hg  0.0000  0.0000  0.5000  4 Hg 2.83-2.89, 8 Cu 2.87

Output
Raw total energy = -11.8 eV for the cell shown
Formation enthalpy at 0 K = 106 meV/atom
Spin magnetization = 0.000 μB per formula unit
Energy relative to the lowest polymorph listed for this composition = 0 meV/atom